# 1
This record from Alexandria via LeMat-Bulk describes crystalline TlTe2Pd at its relaxed geometry. The functional is GGA-PBEsol.

Values from the calculation:
- V (A^3/atom) = 23.62
- space-group type = Fm-3m (225)
- total energy (eV per atom) = -3.7136
- ΔE_f (raw) (eV/f.u.) = 0.787
- N(E_F) (states/eV/cell) = 3.4

Unit cell a=5.1123 b=5.1123 c=5.1123 alpha=60.00 beta=60.00 gamma=60.00
With the nearest neighbours (Å) after each atom.
Element x y z (fractional)
Tl 0.5000 0.5000 0.5000  8 Te 3.13
Te 0.2500 0.2500 0.2500  4 Tl 3.13, 4 Pd 3.13
Te 0.7500 0.7500 0.7500  4 Tl 3.13, 4 Pd 3.13
Pd 0.0000 0.0000 0.0000  8 Te 3.13

---

# 2
This record from Alexandria via LeMat-Bulk describes crystalline RbTaAlHg2 at its relaxed geometry. The functional is GGA-PBEsol.

Values from the calculation:
- V (A^3/atom) = 36.22
- energy of formation from the pure elements (meV per atom) = 2104
- space-group type = P4/mmm (123)
- total energy (eV per atom) = -1.6568
- N(E_F) (states/eV/cell) = 6.9

Unit cell a=5.6426 b=5.6426 c=5.6874 alpha=90.00 beta=90.00 gamma=90.00
With the nearest neighbours (Å) after each atom.
Element x y z (fractional)
Al 0.0000 0.0000 0.5000  2 Rb 2.84
Hg 0.0000 0.5000 0.0000  2 Rb 2.82
Hg 0.5000 0.0000 0.0000  2 Rb 2.82
Rb 0.0000 0.0000 0.0000  4 Hg 2.82, 2 Al 2.84
Ta 0.5000 0.5000 0.5000  4 Al 3.99, 8 Hg 4.01

---

# 3
This record from Alexandria via LeMat-Bulk describes crystalline YSi2Os at its relaxed geometry. The functional is GGA-PBEsol.

Values from the calculation:
- V (A^3/atom) = 17.15
- space-group type = R-3m (166)
- total energy (eV per atom) = -8.3496
- ΔE_f (raw) (eV/f.u.) = -2.867
- N(E_F) (states/eV/cell) = 2.4

Unit cell a=4.0701 b=4.0701 c=5.3289 alpha=67.55 beta=67.55 gamma=60.00
With the nearest neighbours (Å) after each atom.
Element x y z (fractional)
Y 0.5000 0.5000 0.5000  8 Si 2.92-3.04
Si 0.7121 0.7121 0.8638  3 Os 2.44, 3 Si 2.69
Si 0.2879 0.2879 0.1362  3 Os 2.44, 3 Si 2.69
Os 0.0000 0.0000 0.0000  6 Si 2.44

---

# 4
This record from Alexandria via LeMat-Bulk describes crystalline ZrPSeO2 at its relaxed geometry. The functional is GGA-PBEsol.

Values from the calculation:
- V (A^3/atom) = 14.43
- space-group type = P4/mmm (123)
- total energy (eV per atom) = -6.2962
- ΔE_f (raw) (eV/f.u.) = -2.251
- N(E_F) (states/eV/cell) = 1.4

Unit cell a=3.8507 b=3.8507 c=4.8646 alpha=90.00 beta=90.00 gamma=90.00
With the nearest neighbours (Å) after each atom.
Element x y z (fractional)
O 0.0000 0.5000 0.0000  2 Se 1.93
O 0.5000 0.0000 0.0000  2 Se 1.93
P 0.0000 0.0000 0.5000  2 Se 2.43, 4 Zr 2.72
Se 0.0000 0.0000 0.0000  4 O 1.93
Zr 0.5000 0.5000 0.5000  4 P 2.72

---

# 5
This record from Alexandria via LeMat-Bulk describes crystalline La16Al13 at its relaxed geometry. The functional is GGA-PBEsol.

Values from the calculation:
- V (A^3/atom) = 26.81
- energy of formation from the pure elements (meV per atom) = -348
- space-group type = P-62m (189)
- total energy (eV per atom) = -5.1321
- N(E_F) (states/eV/cell) = 22.4

Unit cell a=9.0260 b=9.0260 c=11.0182 alpha=90.00 beta=90.00 gamma=120.00
With the nearest neighbours (Å) after each atom.
Element x y z (fractional)
Al 0.3333 0.6667 0.0000  11 La 3.33-3.69
Al 0.6667 0.3333 0.0000  11 La 3.33-3.69
Al 0.0000 0.0000 0.7664  3 Al 2.66
Al 0.0000 0.0000 0.2336  3 Al 2.66
Al 0.0000 0.5754 0.5000  2 Al 2.64
Al 0.5754 0.0000 0.5000  2 Al 2.64
Al 0.4246 0.4246 0.5000  2 Al 2.64
Al 0.0000 0.7137 0.7108  2 Al 2.64-2.66
Al 0.7137 0.0000 0.7108  2 Al 2.64-2.66
Al 0.2863 0.2863 0.7108  2 Al 2.64-2.66
Al 0.0000 0.7137 0.2892  2 Al 2.64-2.66
Al 0.7137 0.0000 0.2892  2 Al 2.64-2.66
Al 0.2863 0.2863 0.2892  2 Al 2.64-2.66
La 0.0000 0.7393 0.0000  6 Al 3.19-3.49, 4 La 3.57
La 0.7393 0.0000 0.0000  6 Al 3.19-3.49, 4 La 3.57
La 0.2607 0.2607 0.0000  6 Al 3.19-3.49, 4 La 3.57
La 0.7747 0.7747 0.5000  7 Al 3.16-3.32, 2 La 3.52
La 0.0000 0.2253 0.5000  7 Al 3.16-3.32, 2 La 3.52
La 0.2253 0.0000 0.5000  7 Al 3.16-3.32, 2 La 3.52
La 0.3333 0.6667 0.3346  6 Al 3.25-3.28, 3 La 3.37
La 0.3333 0.6667 0.6654  6 Al 3.25-3.28, 3 La 3.37
La 0.6667 0.3333 0.6654  6 Al 3.25-3.28, 3 La 3.37
La 0.6667 0.3333 0.3346  6 Al 3.25-3.28, 3 La 3.37
La 0.6129 0.6129 0.8363  6 Al 3.26-3.58, 5 La 3.37-3.61
La 0.0000 0.3871 0.8363  6 Al 3.26-3.58, 5 La 3.37-3.61
La 0.3871 0.0000 0.8363  6 Al 3.26-3.58, 5 La 3.37-3.61
La 0.6129 0.6129 0.1637  6 Al 3.26-3.58, 5 La 3.37-3.61
La 0.0000 0.3871 0.1637  6 Al 3.26-3.58, 5 La 3.37-3.61
La 0.3871 0.0000 0.1637  6 Al 3.26-3.58, 5 La 3.37-3.61

---

# 6
This record from Alexandria via LeMat-Bulk describes crystalline CsBi2AsW at its relaxed geometry. The functional is GGA-PBEsol.

Values from the calculation:
- V (A^3/atom) = 36.61
- energy of formation from the pure elements (meV per atom) = 2793
- space-group type = P4/mmm (123)
- total energy (eV per atom) = -2.8927
- N(E_F) (states/eV/cell) = 4.9

Unit cell a=5.1632 b=5.9539 c=5.9539 alpha=90.00 beta=90.00 gamma=90.00
With the nearest neighbours (Å) after each atom.
Element x y z (fractional)
Cs 0.0000 0.0000 0.0000  2 W 2.58
As 0.5000 0.5000 0.5000  8 Bi 3.94, 4 W 4.21
Bi 0.0000 0.0000 0.5000  2 Cs 2.98
Bi 0.0000 0.5000 0.0000  2 Cs 2.98
W 0.5000 0.0000 0.0000  2 Cs 2.58

---

# 7
This record from Alexandria via LeMat-Bulk describes crystalline K2Ta at its relaxed geometry. The functional is GGA-PBEsol.

Values from the calculation:
- V (A^3/atom) = 40.05
- energy of formation from the pure elements (meV per atom) = 1996
- space-group type = P6_3/mmc (194)
- total energy (eV per atom) = -2.9436
- N(E_F) (states/eV/cell) = 6.3

Unit cell a=6.1050 b=6.1050 c=7.4453 alpha=90.00 beta=90.00 gamma=120.00
With the nearest neighbours (Å) after each atom.
Element x y z (fractional)
K 0.0000 0.0000 0.0000  8 K 3.72-3.99, 6 Ta 3.99
K 0.0000 0.0000 0.5000  8 K 3.72-3.99, 6 Ta 3.99
K 0.6667 0.3333 0.7500  5 Ta 3.52-3.72
K 0.3333 0.6667 0.2500  5 Ta 3.52-3.72
Ta 0.3333 0.6667 0.7500  5 K 3.52-3.72
Ta 0.6667 0.3333 0.2500  5 K 3.52-3.72

---

# 8
This record from Alexandria via LeMat-Bulk describes crystalline Hg3Au at its relaxed geometry. The functional is GGA-PBEsol.

Values from the calculation:
- V (A^3/atom) = 21.05
- energy of formation from the pure elements (meV per atom) = 79
- space-group type = Cmmm (65)
- total energy (eV per atom) = -1.3267
- N(E_F) (states/eV/cell) = 1.4

Unit cell a=2.8644 b=5.4364 c=5.4364 alpha=95.93 beta=90.00 gamma=90.00
With the nearest neighbours (Å) after each atom.
Element x y z (fractional)
Au 0.0000 0.0000 0.0000  2 Au 2.86, 8 Hg 3.07
Hg 0.5000 0.0000 0.5000  6 Hg 2.86-3.07, 4 Au 3.07
Hg 0.5000 0.5000 0.0000  6 Hg 2.86-3.07, 4 Au 3.07
Hg 0.0000 0.5000 0.5000  10 Hg 2.86-3.07

---

# 9
This record from Alexandria via LeMat-Bulk describes crystalline Mg2CuIr at its relaxed geometry. The functional is GGA-PBEsol.

Values from the calculation:
- V (A^3/atom) = 15.08
- energy of formation from the pure elements (meV per atom) = -163
- space-group type = Cm (8)
- total energy (eV per atom) = -4.5605
- N(E_F) (states/eV/cell) = 1.5

Unit cell a=3.0159 b=4.4405 c=5.0249 alpha=109.04 beta=107.46 gamma=90.00
With the nearest neighbours (Å) after each atom.
Element x y z (fractional)
Mg 0.9839 0.9527 0.9678  4 Cu 2.69-2.70, 3 Ir 2.70-2.78, 6 Mg 2.95-3.02
Mg 0.7657 0.2962 0.5315  4 Ir 2.69-2.71, 3 Cu 2.70-2.78, 2 Mg 2.95-2.98
Ir 0.2357 0.7771 0.4713  2 Cu 2.57, 7 Mg 2.69-2.78
Cu 0.5147 0.4740 0.0294  2 Ir 2.57, 7 Mg 2.69-2.78

---

# 10
This record from Alexandria via LeMat-Bulk describes crystalline TiRh3F at its relaxed geometry. The functional is GGA-PBEsol.

Values from the calculation:
- V (A^3/atom) = 14.21
- space-group type = Pm-3m (221)
- total energy (eV per atom) = -6.5811
- ΔE_f (raw) (eV/f.u.) = 1.759
- N(E_F) (states/eV/cell) = 7.6

Unit cell a=4.1418 b=4.1418 c=4.1418 alpha=90.00 beta=90.00 gamma=90.00
With the nearest neighbours (Å) after each atom.
Element x y z (fractional)
F 0.0000 0.0000 0.0000  6 Rh 2.07
Rh 0.0000 0.5000 0.0000  2 F 2.07
Rh 0.0000 0.0000 0.5000  2 F 2.07
Rh 0.5000 0.0000 0.0000  2 F 2.07
Ti 0.5000 0.5000 0.5000  12 Rh 2.93

---

# 11
This record from Alexandria via LeMat-Bulk describes crystalline LiTiO2 at its relaxed geometry. The functional is GGA-PBEsol.

Values from the calculation:
- V (A^3/atom) = 8.83
- space-group type = Fd-3m (227)
- total energy (eV per atom) = -7.8616
- ΔE_f (raw) (eV/f.u.) = -10.659
- N(E_F) (states/eV/cell) = 7.5

Unit cell a=5.8455 b=5.8455 c=5.8455 alpha=60.00 beta=60.00 gamma=60.00
With the nearest neighbours (Å) after each atom.
Element x y z (fractional)
Li 0.1250 0.1250 0.1250  6 O 2.09
Li 0.1250 0.6250 0.1250  6 O 2.09
Li 0.1250 0.1250 0.6250  6 O 2.09
Li 0.6250 0.1250 0.1250  6 O 2.09
Ti 0.6250 0.1250 0.6250  6 O 2.04
Ti 0.6250 0.6250 0.1250  6 O 2.04
Ti 0.6250 0.6250 0.6250  6 O 2.04
Ti 0.1250 0.6250 0.6250  6 O 2.04
O 0.8717 0.8717 0.3850  3 Ti 2.04, 3 Li 2.09
O 0.8650 0.3783 0.3783  3 Ti 2.04, 3 Li 2.09
O 0.8717 0.3850 0.8717  3 Ti 2.04, 3 Li 2.09
O 0.8717 0.8717 0.8717  3 Ti 2.04, 3 Li 2.09
O 0.3850 0.8717 0.8717  3 Ti 2.04, 3 Li 2.09
O 0.3783 0.3783 0.3783  3 Ti 2.04, 3 Li 2.09
O 0.3783 0.3783 0.8650  3 Ti 2.04, 3 Li 2.09
O 0.3783 0.8650 0.3783  3 Ti 2.04, 3 Li 2.09

---

# 12
This record from Alexandria via LeMat-Bulk describes crystalline Mn4ReOs at its relaxed geometry. The functional is GGA-PBEsol.

Values from the calculation:
- V (A^3/atom) = 11.52
- energy of formation from the pure elements (meV per atom) = -43
- space-group type = F-43m (216)
- total energy (eV per atom) = -10.8085
- N(E_F) (states/eV/cell) = 6.8

Unit cell a=4.6066 b=4.6066 c=4.6066 alpha=60.00 beta=60.00 gamma=60.00
With the nearest neighbours (Å) after each atom.
Element x y z (fractional)
Mn 0.3759 0.3759 0.3759  6 Mn 2.29-2.32
Mn 0.3759 0.3759 0.8723  6 Mn 2.29-2.32
Mn 0.8723 0.3759 0.3759  6 Mn 2.29-2.32
Mn 0.3759 0.8723 0.3759  6 Mn 2.29-2.32
Os 0.7500 0.7500 0.7500  12 Mn 2.70, 4 Re 2.82
Re 0.0000 0.0000 0.0000  12 Mn 2.70, 4 Os 2.82

---

# 13
This record from Alexandria via LeMat-Bulk describes crystalline InAgS2 at its relaxed geometry. The functional is GGA-PBEsol.

Values from the calculation:
- V (A^3/atom) = 23.41
- space-group type = R-3m (166)
- total energy (eV per atom) = -4.1367
- ΔE_f (raw) (eV/f.u.) = -1.484

Unit cell a=3.8236 b=3.8236 c=7.7176 alpha=75.66 beta=75.66 gamma=60.00
With the nearest neighbours (Å) after each atom.
Element x y z (fractional)
S 0.8958 0.8958 0.3125  1 Ag 2.31
S 0.1042 0.1042 0.6875  1 Ag 2.31
Ag 0.0000 0.0000 0.0000  2 S 2.31
In 0.5000 0.5000 0.5000  6 S 2.61

---

# 14
This record from Alexandria via LeMat-Bulk describes crystalline Zn2Ni2Au at its relaxed geometry. The functional is GGA-PBEsol.

Values from the calculation:
- V (A^3/atom) = 13.72
- energy of formation from the pure elements (meV per atom) = 158
- space-group type = I4/mmm (139)
- total energy (eV per atom) = -3.7229
- N(E_F) (states/eV/cell) = 5.1

Unit cell a=3.4772 b=3.4772 c=6.1842 alpha=106.33 beta=106.33 gamma=90.00
With the nearest neighbours (Å) after each atom.
Element x y z (fractional)
Ni 0.3998 0.3998 0.7997  1 Ni 2.27, 4 Zn 2.43
Ni 0.6002 0.6002 0.2003  1 Ni 2.27, 4 Zn 2.43
Zn 0.2500 0.7500 0.5000  4 Ni 2.43, 4 Zn 2.46
Zn 0.7500 0.2500 0.5000  4 Ni 2.43, 4 Zn 2.46
Au 0.0000 0.0000 0.0000  8 Ni 2.71

---

# 15
This record from Alexandria via LeMat-Bulk describes crystalline Zn2PW at its relaxed geometry. The functional is GGA-PBEsol.

Values from the calculation:
- V (A^3/atom) = 14.59
- energy of formation from the pure elements (meV per atom) = 350
- space-group type = Cmmm (65)
- total energy (eV per atom) = -5.3410
- N(E_F) (states/eV/cell) = 2.1

Unit cell a=2.7018 b=2.7018 c=8.2767 alpha=90.00 beta=90.00 gamma=104.97
With the nearest neighbours (Å) after each atom.
Element x y z (fractional)
P 0.5000 0.5000 0.5000  4 Zn 2.63, 4 P 2.70
W 0.5000 0.5000 0.0000  4 Zn 2.66, 4 W 2.70
Zn 0.0000 0.0000 0.2526  2 P 2.63, 2 W 2.66, 4 Zn 2.70
Zn 0.0000 0.0000 0.7474  2 P 2.63, 2 W 2.66, 4 Zn 2.70

---

# 16
This record from Alexandria via LeMat-Bulk describes crystalline FeNiAg3 at its relaxed geometry. The functional is GGA-PBEsol.

Values from the calculation:
- V (A^3/atom) = 19.94
- energy of formation from the pure elements (meV per atom) = 1472
- space-group type = Pm-3m (221)
- total energy (eV per atom) = -3.5393
- N(E_F) (states/eV/cell) = 7.1

Unit cell a=4.6369 b=4.6369 c=4.6369 alpha=90.00 beta=90.00 gamma=90.00
With the nearest neighbours (Å) after each atom.
Element x y z (fractional)
Ni 0.5000 0.5000 0.5000  12 Ag 3.28
Fe 0.0000 0.0000 0.0000  6 Ag 2.32
Ag 0.0000 0.5000 0.0000  2 Fe 2.32
Ag 0.0000 0.0000 0.5000  2 Fe 2.32
Ag 0.5000 0.0000 0.0000  2 Fe 2.32

---

# 17
This record from Alexandria via LeMat-Bulk describes crystalline SrCaAsSe2 at its relaxed geometry. The functional is GGA-PBEsol.

Values from the calculation:
- V (A^3/atom) = 29.91
- space-group type = P4/mmm (123)
- total energy (eV per atom) = -4.0086
- ΔE_f (raw) (eV/f.u.) = -3.263
- N(E_F) (states/eV/cell) = 3.7

Unit cell a=5.2019 b=5.3620 c=5.3620 alpha=90.00 beta=90.00 gamma=90.00
With the nearest neighbours (Å) after each atom.
Element x y z (fractional)
Sr 0.5000 0.5000 0.5000  8 Se 3.74, 4 As 3.79
As 0.5000 0.0000 0.0000  2 Ca 2.60
Ca 0.0000 0.0000 0.0000  2 As 2.60, 4 Se 2.68
Se 0.0000 0.0000 0.5000  2 Ca 2.68
Se 0.0000 0.5000 0.0000  2 Ca 2.68

---

# 18
This record from Alexandria via LeMat-Bulk describes crystalline Mn3NiN at its relaxed geometry. The functional is GGA-PBEsol.

Values from the calculation:
- V (A^3/atom) = 9.74
- space-group type = Pm-3m (221)
- total energy (eV per atom) = -8.9629
- ΔE_f (raw) (eV/f.u.) = -0.847
- N(E_F) (states/eV/cell) = 6.2

Unit cell a=3.6516 b=3.6516 c=3.6516 alpha=90.00 beta=90.00 gamma=90.00
With the nearest neighbours (Å) after each atom.
Element x y z (fractional)
Ni 0.0000 0.0000 0.0000  12 Mn 2.58
Mn 0.0000 0.5000 0.5000  2 N 1.83
Mn 0.5000 0.5000 0.0000  2 N 1.83
Mn 0.5000 0.0000 0.5000  2 N 1.83
N 0.5000 0.5000 0.5000  6 Mn 1.83

---

# 19
This record from Alexandria via LeMat-Bulk describes crystalline Cd2AgMo at its relaxed geometry. The functional is GGA-PBEsol.

Values from the calculation:
- V (A^3/atom) = 17.51
- energy of formation from the pure elements (meV per atom) = 394
- space-group type = P4/mmm (123)
- total energy (eV per atom) = -3.9744
- N(E_F) (states/eV/cell) = 1.9

Unit cell a=3.9926 b=4.1881 c=4.1881 alpha=90.00 beta=90.00 gamma=90.00
With the nearest neighbours (Å) after each atom.
Element x y z (fractional)
Ag 0.5000 0.0000 0.0000  8 Cd 2.89, 4 Mo 2.96
Cd 0.0000 0.0000 0.5000  4 Mo 2.89, 4 Ag 2.89, 4 Cd 2.96
Cd 0.0000 0.5000 0.0000  4 Mo 2.89, 4 Ag 2.89, 4 Cd 2.96
Mo 0.5000 0.5000 0.5000  8 Cd 2.89, 4 Ag 2.96

---

# 20
This record from Alexandria via LeMat-Bulk describes crystalline Fe2AgMo at its relaxed geometry. The functional is GGA-PBEsol.

Values from the calculation:
- V (A^3/atom) = 13.06
- energy of formation from the pure elements (meV per atom) = 440
- space-group type = I-4m2 (119)
- total energy (eV per atom) = -7.8119
- N(E_F) (states/eV/cell) = 3.2

Unit cell a=3.6748 b=3.6748 c=4.6591 alpha=113.23 beta=113.23 gamma=90.00
With the nearest neighbours (Å) after each atom.
Element x y z (fractional)
Ag 0.2500 0.7500 0.5000  8 Fe 2.60-2.67, 4 Mo 2.67
Fe 0.0000 0.0000 0.0000  4 Mo 2.60, 4 Fe 2.67, 4 Ag 2.67
Fe 0.7500 0.2500 0.5000  4 Ag 2.60, 4 Fe 2.67, 4 Mo 2.67
Mo 0.5000 0.5000 0.0000  8 Fe 2.60-2.67, 4 Ag 2.67